(1)
{
  "formula": "TmLuRhAu",
  "functional": "PBE",
  "state": "relaxed",
  "formation_enthalpy_0k_ev_per_atom": -0.900,
  "magnetic_moment_mub_per_atom": 0.000,
  "lattice_angstrom": [[-2.480, 4.171, -0.611], [-3.869, 0.129, -2.989], [-4.504, 0.460, 1.849]],
  "species": ["Au", "Tm", "Lu", "Rh"],
  "fractional_positions": [[0.000, 0.000, 0.000], [0.250, 0.250, 0.250], [0.750, 0.750, 0.750], [0.500, 0.500, 0.500]]
}

***

(2)
{
  "formula": "PPtCl",
  "functional": "PBE",
  "state": "relaxed",
  "formation_energy_uncorrected_mev_per_atom": 599,
  "magnetic_moment_mub_per_atom": 0.000,
  "relative_energy_ev_per_atom": 0.971,
  "lattice_angstrom": [[-2.122, 2.812, -2.509], [-0.432, -0.777, -4.233], [-3.871, -1.043, -1.623]],
  "species": ["Pt", "Cl", "P"],
  "fractional_positions": [[0.000, 0.000, 0.000], [0.500, 0.500, 0.500], [0.750, 0.750, 0.750]]
}

***

(3)
{
  "formula": "Y2Al4PdPt3",
  "functional": "PBE",
  "state": "relaxed",
  "formation_enthalpy_0k_ev_per_atom": -1.086,
  "magnetic_moment_mub_per_atom": 0.000,
  "lattice_angstrom": [[4.136, 0.000, 0.000], [0.000, 4.136, 0.000], [0.000, 0.000, 10.833]],
  "species": ["Al", "Al", "Al", "Al", "Pt", "Pt", "Pt", "Pd", "Y", "Y"],
  "fractional_positions": [[0.000, 0.500, 0.368], [0.500, 0.000, 0.632], [0.500, 0.500, 0.000], [0.000, 0.000, 0.000], [0.000, 0.000, 0.500], [0.000, 0.500, 0.138], [0.500, 0.000, 0.862], [0.500, 0.500, 0.500], [0.000, 0.500, 0.755], [0.500, 0.000, 0.245]]
}

***

(4)
{
  "formula": "BaNi",
  "functional": "PBE",
  "state": "relaxed",
  "formation_enthalpy_0k_ev_per_atom": 0.094,
  "magnetic_moment_mub_per_atom": 0.000,
  "lattice_angstrom": [[11.531, 0.000, 0.000], [0.000, 11.531, 0.000], [0.000, 0.000, 4.280]],
  "species": ["Ba", "Ba", "Ba", "Ba", "Ba", "Ba", "Ba", "Ba", "Ni", "Ni", "Ni", "Ni", "Ni", "Ni", "Ni", "Ni"],
  "fractional_positions": [[0.500, 0.241, 0.000], [0.500, 0.759, 0.000], [0.000, 0.741, 0.500], [0.241, 0.500, 0.000], [0.000, 0.259, 0.500], [0.259, 0.000, 0.500], [0.741, 0.000, 0.500], [0.759, 0.500, 0.000], [0.227, 0.773, 0.000], [0.273, 0.727, 0.500], [0.227, 0.227, 0.000], [0.773, 0.227, 0.000], [0.773, 0.773, 0.000], [0.273, 0.273, 0.500], [0.727, 0.727, 0.500], [0.727, 0.273, 0.500]]
}

***

(5)
{
  "formula": "Tm3UN4",
  "functional": "PBE",
  "state": "relaxed",
  "formation_energy_uncorrected_mev_per_atom": -1692,
  "magnetic_moment_mub_per_atom": 0.174,
  "lattice_angstrom": [[4.413, 0.000, -1.959], [-0.869, 4.327, -1.959], [-0.028, -0.035, 5.887]],
  "species": ["U", "N", "N", "N", "N", "Tm", "Tm", "Tm"],
  "fractional_positions": [[0.000, 0.000, 0.000], [0.000, 0.500, 0.000], [0.763, 0.763, 0.525], [0.237, 0.237, 0.475], [0.500, 0.000, 0.000], [0.250, 0.750, 0.500], [0.750, 0.250, 0.500], [0.500, 0.500, 0.000]]
}

***

(6)
{
  "formula": "Ta2MnCl",
  "functional": "PBE",
  "state": "relaxed",
  "formation_energy_uncorrected_mev_per_atom": 998,
  "magnetic_moment_mub_per_atom": 0.118,
  "relative_energy_ev_per_atom": 1.046,
  "lattice_angstrom": [[4.884, 0.000, 0.000], [0.000, 4.884, 0.000], [2.442, 2.442, 6.764]],
  "species": ["Ta", "Ta", "Ta", "Ta", "Cl", "Cl", "Mn", "Mn"],
  "fractional_positions": [[0.875, 0.905, 0.750], [0.095, 0.625, 0.250], [0.655, 0.125, 0.250], [0.375, 0.345, 0.750], [0.250, 0.750, 0.500], [0.500, 0.500, 0.000], [0.000, 0.000, 0.000], [0.750, 0.250, 0.500]]
}

***

(7)
{
  "formula": "Be2GeP",
  "functional": "PBE",
  "state": "relaxed",
  "formation_enthalpy_0k_ev_per_atom": 0.587,
  "magnetic_moment_mub_per_atom": 0.000,
  "relative_energy_ev_per_atom": 0.302,
  "lattice_angstrom": [[0.000, 2.946, 2.946], [2.946, 0.000, 2.946], [2.946, 2.946, 0.000]],
  "species": ["Be", "Be", "Ge", "P"],
  "fractional_positions": [[0.750, 0.750, 0.750], [0.250, 0.250, 0.250], [0.500, 0.500, 0.500], [0.000, 0.000, 0.000]]
}

***

(8)
{
  "formula": "BiTe2WN",
  "functional": "PBE",
  "state": "relaxed",
  "formation_energy_uncorrected_mev_per_atom": 237,
  "magnetic_moment_mub_per_atom": 0.010,
  "relative_energy_ev_per_atom": 0.000,
  "lattice_angstrom": [[-0.908, 2.914, -4.636], [-5.446, 0.011, 1.073], [0.397, 3.278, 1.983]],
  "species": ["Te", "Te", "Bi", "W", "N"],
  "fractional_positions": [[0.500, 0.000, 0.000], [0.000, 0.500, 0.000], [0.500, 0.500, 0.500], [0.000, 0.000, 0.000], [0.000, 0.000, 0.500]]
}